1.
# Pm2MgAl2Ir5 | the Alexandria database | GGA-PBE | relaxed
# Calculated formation energy, meV/atom: -621
# M_tot, μB/atom: 0.0000
# Crystal system: tetragonal
data_Pm2MgAl2Ir5
_chemical_formula_sum 'Pm4 Mg2 Al4 Ir10'
_space_group_name_H-M_alt 'P 4/m b m'
_space_group_IT_number 127
_space_group_name_Hall '-P 4 2ab'
_cell_length_a 10.050
_cell_length_b 10.050
_cell_length_c 3.506
_cell_angle_alpha 90.00
_cell_angle_beta 90.00
_cell_angle_gamma 90.00
loop_
_atom_site_label
_atom_site_type_symbol
_atom_site_fract_x
_atom_site_fract_y
_atom_site_fract_z
Pm1 Pm 0.176 0.324 0.000
Mg1 Mg 0.000 0.000 0.000
Al1 Al 0.123 0.623 0.000
Ir1 Ir 0.000 0.500 0.500
Ir2 Ir 0.064 0.791 0.500

=====

2.
# CaRe4P | the Alexandria database | GGA-PBE | relaxed
# Calculated formation energy, meV/atom: 607
# M_tot, μB/atom: 0.0000
# Crystal system: cubic
data_CaRe4P
_chemical_formula_sum 'Ca4 Re16 P4'
_space_group_name_H-M_alt 'F -4 3 m'
_space_group_IT_number 216
_space_group_name_Hall 'F -4 2 3'
_cell_length_a 7.499
_cell_length_b 7.499
_cell_length_c 7.499
_cell_angle_alpha 90.00
_cell_angle_beta 90.00
_cell_angle_gamma 90.00
loop_
_atom_site_label
_atom_site_type_symbol
_atom_site_fract_x
_atom_site_fract_y
_atom_site_fract_z
Ca1 Ca 0.000 0.000 0.000
Re1 Re 0.124 0.124 0.376
P1 P 0.250 0.250 0.750

=====

3.
# Sr2TmN | the Alexandria database | GGA-PBE | relaxed
# Raw formation energy, eV per atom: -0.19
# M_tot, μB/atom: 0.0235
# Crystal system: trigonal
data_Sr2TmN
_chemical_formula_sum 'Sr6 Tm3 N3'
_space_group_name_H-M_alt 'R -3 m'
_space_group_IT_number 166
_space_group_name_Hall '-R 3 2"'
_cell_length_a 3.6799
_cell_length_b 3.6799
_cell_length_c 30.9448
_cell_angle_alpha 90.00
_cell_angle_beta 90.00
_cell_angle_gamma 120.00
loop_
_atom_site_label
_atom_site_type_symbol
_atom_site_fract_x
_atom_site_fract_y
_atom_site_fract_z
Sr1 Sr 0.0000 0.0000 0.1210
Tm1 Tm 0.0000 0.0000 0.0000
N1 N 0.0000 0.0000 0.5000

=====

4.
# NbSnPd14 | the Alexandria database | GGA-PBE | relaxed
# Calculated formation energy, meV/atom: -243
# M_tot, μB/atom: 0.0000
# Crystal system: tetragonal
data_NbSnPd14
_chemical_formula_sum 'Nb1 Sn1 Pd14'
_space_group_name_H-M_alt 'P 4/m m m'
_space_group_IT_number 123
_space_group_name_Hall '-P 4 2'
_cell_length_a 5.693
_cell_length_b 5.693
_cell_length_c 7.773
_cell_angle_alpha 90.00
_cell_angle_beta 90.00
_cell_angle_gamma 90.00
loop_
_atom_site_label
_atom_site_type_symbol
_atom_site_fract_x
_atom_site_fract_y
_atom_site_fract_z
Nb1 Nb 0.000 0.000 0.000
Sn1 Sn 0.500 0.500 0.000
Pd1 Pd 0.000 0.000 0.500
Pd2 Pd 0.000 0.500 0.000
Pd3 Pd 0.000 0.500 0.500
Pd4 Pd 0.247 0.247 0.247
Pd5 Pd 0.500 0.500 0.500

=====

5.
# KMnGe3 | the Alexandria database | GGA-PBE | relaxed
# Calculated formation energy, meV/atom: 146
# M_tot, μB/atom: 0.0000
# Crystal system: cubic
data_KMnGe3
_chemical_formula_sum 'K1 Mn1 Ge3'
_space_group_name_H-M_alt 'P m -3 m'
_space_group_IT_number 221
_space_group_name_Hall '-P 4 2 3'
_cell_length_a 4.731
_cell_length_b 4.731
_cell_length_c 4.731
_cell_angle_alpha 90.00
_cell_angle_beta 90.00
_cell_angle_gamma 90.00
loop_
_atom_site_label
_atom_site_type_symbol
_atom_site_fract_x
_atom_site_fract_y
_atom_site_fract_z
K1 K 0.000 0.000 0.000
Mn1 Mn 0.500 0.500 0.500
Ge1 Ge 0.000 0.500 0.500

=====

6.
# YSc4Mo | the Alexandria database | GGA-PBE | relaxed
# Calculated formation energy, meV/atom: 551
# M_tot, μB/atom: 0.3674
# Crystal system: cubic
data_YSc4Mo
_chemical_formula_sum 'Y4 Sc16 Mo4'
_space_group_name_H-M_alt 'F -4 3 m'
_space_group_IT_number 216
_space_group_name_Hall 'F -4 2 3'
_cell_length_a 8.268
_cell_length_b 8.268
_cell_length_c 8.268
_cell_angle_alpha 90.00
_cell_angle_beta 90.00
_cell_angle_gamma 90.00
loop_
_atom_site_label
_atom_site_type_symbol
_atom_site_fract_x
_atom_site_fract_y
_atom_site_fract_z
Y1 Y 0.000 0.000 0.000
Sc1 Sc 0.123 0.123 0.377
Mo1 Mo 0.250 0.250 0.750

=====

7.
# HoClF2 | the Alexandria database | GGA-PBE | relaxed
# Raw formation energy, eV per atom: -3.50
# M_tot, μB/atom: 0.0000
# Crystal system: orthorhombic
data_HoClF2
_chemical_formula_sum 'Ho4 Cl4 F8'
_space_group_name_H-M_alt 'C m c m'
_space_group_IT_number 63
_space_group_name_Hall '-C 2c 2'
_cell_length_a 3.722
_cell_length_b 9.873
_cell_length_c 6.901
_cell_angle_alpha 90.00
_cell_angle_beta 90.00
_cell_angle_gamma 90.00
loop_
_atom_site_label
_atom_site_type_symbol
_atom_site_fract_x
_atom_site_fract_y
_atom_site_fract_z
Ho1 Ho 0.000 0.240 0.250
Cl1 Cl 0.000 0.046 0.750
F1 F 0.000 0.319 0.568

=====

8.
# Hf2MnAu2 | the Alexandria database | GGA-PBE | relaxed
# Calculated formation energy, meV/atom: 20
# M_tot, μB/atom: 0.0081
# Energy relative to the lowest polymorph listed for this composition, eV/atom: 0.000
# Crystal system: tetragonal
data_Hf2MnAu2
_chemical_formula_sum 'Hf4 Mn2 Au4'
_space_group_name_H-M_alt 'P 4/m b m'
_space_group_IT_number 127
_space_group_name_Hall '-P 4 2ab'
_cell_length_a 7.064
_cell_length_b 7.064
_cell_length_c 3.786
_cell_angle_alpha 90.00
_cell_angle_beta 90.00
_cell_angle_gamma 90.00
loop_
_atom_site_label
_atom_site_type_symbol
_atom_site_fract_x
_atom_site_fract_y
_atom_site_fract_z
Hf1 Hf 0.174 0.326 0.000
Mn1 Mn 0.000 0.000 0.500
Au1 Au 0.136 0.636 0.500

=====

Repeat the seventh record exactly.
# HoClF2 | the Alexandria database | GGA-PBE | relaxed
# Raw formation energy, eV per atom: -3.50
# M_tot, μB/atom: 0.0000
# Crystal system: orthorhombic
data_HoClF2
_chemical_formula_sum 'Ho4 Cl4 F8'
_space_group_name_H-M_alt 'C m c m'
_space_group_IT_number 63
_space_group_name_Hall '-C 2c 2'
_cell_length_a 3.722
_cell_length_b 9.873
_cell_length_c 6.901
_cell_angle_alpha 90.00
_cell_angle_beta 90.00
_cell_angle_gamma 90.00
loop_
_atom_site_label
_atom_site_type_symbol
_atom_site_fract_x
_atom_site_fract_y
_atom_site_fract_z
Ho1 Ho 0.000 0.240 0.250
Cl1 Cl 0.000 0.046 0.750
F1 F 0.000 0.319 0.568

=====

- M_tot of number 4 (NbSnPd14)?
  0.0000 μB/atom

=====

Copy entry 2 word for word.
# CaRe4P | the Alexandria database | GGA-PBE | relaxed
# Calculated formation energy, meV/atom: 607
# M_tot, μB/atom: 0.0000
# Crystal system: cubic
data_CaRe4P
_chemical_formula_sum 'Ca4 Re16 P4'
_space_group_name_H-M_alt 'F -4 3 m'
_space_group_IT_number 216
_space_group_name_Hall 'F -4 2 3'
_cell_length_a 7.499
_cell_length_b 7.499
_cell_length_c 7.499
_cell_angle_alpha 90.00
_cell_angle_beta 90.00
_cell_angle_gamma 90.00
loop_
_atom_site_label
_atom_site_type_symbol
_atom_site_fract_x
_atom_site_fract_y
_atom_site_fract_z
Ca1 Ca 0.000 0.000 0.000
Re1 Re 0.124 0.124 0.376
P1 P 0.250 0.250 0.750